{"formula": "Ni3C5", "functional": "PBE", "state": "relaxed", "dos_ef_per_ev_cell": 12.17, "formation_enthalpy_0k_ev_per_atom": 1.530, "total_magnetization_mub_per_fu": 0.19, "final_energy_ev_per_atom": -6.403, "lattice_angstrom": [[7.055, 0.000, 0.000], [0.000, 3.817, 0.000], [-3.511, 0.000, 6.135]], "species": ["Ni", "Ni", "Ni", "Ni", "Ni", "Ni", "C", "C", "C", "C", "C", "C", "C", "C", "C", "C"], "fractional_positions": [[0.166, 0.250, 0.333], [0.332, 0.750, 0.668], [0.333, 0.750, 0.167], [0.667, 0.250, 0.833], [0.668, 0.250, 0.332], [0.834, 0.750, 0.667], [0.166, 0.576, 0.835], [0.166, 0.924, 0.835], [0.234, 0.750, 0.369], [0.366, 0.250, 0.632], [0.368, 0.250, 0.234], [0.632, 0.750, 0.766], [0.634, 0.750, 0.368], [0.766, 0.250, 0.631], [0.834, 0.076, 0.165], [0.834, 0.424, 0.165]]}



{"formula": "Ni2C", "functional": "PBE", "state": "relaxed", "dos_ef_per_ev_cell": 2.88, "formation_enthalpy_0k_ev_per_atom": 0.399, "total_magnetization_mub_per_fu": 0.00, "final_energy_ev_per_atom": -6.530, "lattice_angstrom": [[5.268, 0.000, 0.000], [-2.634, 4.563, 0.000], [0.000, 0.000, 3.272]], "species": ["Ni", "Ni", "Ni", "Ni", "Ni", "Ni", "C", "C", "C"], "fractional_positions": [[0.000, 0.278, 0.000], [0.000, 0.619, 0.500], [0.278, 0.000, 0.000], [0.381, 0.381, 0.500], [0.619, 0.000, 0.500], [0.722, 0.722, 0.000], [0.000, 0.000, 0.500], [0.333, 0.667, 0.000], [0.667, 0.333, 0.000]]}



{"formula": "Ni2C", "functional": "PBE", "state": "relaxed", "dos_ef_per_ev_cell": 4.31, "formation_enthalpy_0k_ev_per_atom": 1.683, "total_magnetization_mub_per_fu": 1.27, "final_energy_ev_per_atom": -5.245, "lattice_angstrom": [[3.786, 0.000, 0.000], [-1.893, 3.279, 0.000], [0.000, 0.000, 2.395]], "species": ["Ni", "Ni", "C"], "fractional_positions": [[0.333, 0.667, 0.000], [0.667, 0.333, 0.000], [0.000, 0.000, 0.500]]}



{"formula": "Ni3C5", "functional": "PBE", "state": "relaxed", "dos_ef_per_ev_cell": 4.38, "formation_enthalpy_0k_ev_per_atom": 1.560, "total_magnetization_mub_per_fu": 0.00, "final_energy_ev_per_atom": -6.373, "lattice_angstrom": [[2.271, -2.910, 0.000], [2.271, 2.910, 0.000], [0.000, 0.000, 7.618]], "species": ["Ni", "Ni", "Ni", "C", "C", "C", "C", "C"], "fractional_positions": [[0.000, 0.000, 0.000], [0.306, 0.694, 0.500], [0.694, 0.306, 0.500], [0.000, 0.500, 0.000], [0.155, 0.155, 0.500], [0.500, 0.000, 0.000], [0.500, 0.500, 0.000], [0.845, 0.845, 0.500]]}



{"formula": "Ni2C3", "functional": "PBE", "state": "relaxed", "dos_ef_per_ev_cell": 1.88, "formation_enthalpy_0k_ev_per_atom": 0.542, "total_magnetization_mub_per_fu": 0.00, "final_energy_ev_per_atom": -7.305, "lattice_angstrom": [[2.564, 0.000, 0.000], [-1.282, 2.221, 0.000], [0.000, 0.000, 7.646]], "species": ["Ni", "Ni", "C", "C", "C"], "fractional_positions": [[0.333, 0.667, 0.341], [0.667, 0.333, 0.659], [0.000, 0.000, 0.500], [0.333, 0.667, 0.002], [0.667, 0.333, 0.998]]}



{"formula": "NiC3", "functional": "PBE", "state": "relaxed", "dos_ef_per_ev_cell": 4.24, "formation_enthalpy_0k_ev_per_atom": 1.991, "total_magnetization_mub_per_fu": 1.98, "final_energy_ev_per_atom": -6.373, "lattice_angstrom": [[4.104, 0.000, 0.000], [-2.052, 3.554, 0.000], [0.000, 0.000, 6.776]], "species": ["Ni", "Ni", "C", "C", "C", "C", "C", "C"], "fractional_positions": [[0.333, 0.667, 0.250], [0.667, 0.333, 0.750], [0.116, 0.232, 0.750], [0.116, 0.884, 0.750], [0.232, 0.116, 0.250], [0.768, 0.884, 0.750], [0.884, 0.116, 0.250], [0.884, 0.768, 0.250]]}



{"formula": "Ni2C", "functional": "PBE", "state": "relaxed", "dos_ef_per_ev_cell": 6.33, "formation_enthalpy_0k_ev_per_atom": 0.665, "total_magnetization_mub_per_fu": 0.00, "final_energy_ev_per_atom": -6.264, "lattice_angstrom": [[2.727, 0.000, 0.000], [-1.363, 2.361, 0.000], [0.000, 0.000, 15.052]], "species": ["Ni", "Ni", "Ni", "Ni", "Ni", "Ni", "C", "C", "C"], "fractional_positions": [[0.000, 0.000, 0.084], [0.000, 0.000, 0.916], [0.333, 0.667, 0.571], [0.333, 0.667, 0.734], [0.667, 0.333, 0.266], [0.667, 0.333, 0.429], [0.000, 0.000, 0.500], [0.333, 0.667, 0.852], [0.667, 0.333, 0.148]]}



{"formula": "Ni2C", "functional": "PBE", "state": "relaxed", "dos_ef_per_ev_cell": 4.37, "formation_enthalpy_0k_ev_per_atom": 0.755, "total_magnetization_mub_per_fu": 0.00, "final_energy_ev_per_atom": -6.174, "lattice_angstrom": [[-1.237, 1.237, 9.047], [1.237, -1.237, 9.047], [1.237, 1.237, -9.047]], "species": ["Ni", "Ni", "Ni", "Ni", "C", "C"], "fractional_positions": [[0.311, 0.561, 0.750], [0.439, 0.689, 0.750], [0.561, 0.311, 0.250], [0.689, 0.439, 0.250], [0.125, 0.875, 0.250], [0.875, 0.125, 0.750]]}



{"formula": "Ni5C", "functional": "PBE", "state": "relaxed", "dos_ef_per_ev_cell": 9.22, "formation_enthalpy_0k_ev_per_atom": 1.230, "total_magnetization_mub_per_fu": 1.65, "final_energy_ev_per_atom": -5.125, "lattice_angstrom": [[4.455, 0.000, 0.000], [-2.228, 3.858, 0.000], [0.000, 0.000, 4.133]], "species": ["Ni", "Ni", "Ni", "Ni", "Ni", "C"], "fractional_positions": [[0.000, 0.500, 0.000], [0.333, 0.667, 0.500], [0.500, 0.000, 0.000], [0.500, 0.500, 0.000], [0.667, 0.333, 0.500], [0.000, 0.000, 0.500]]}



{"formula": "Ni2C", "functional": "PBE", "state": "relaxed", "dos_ef_per_ev_cell": 2.39, "formation_enthalpy_0k_ev_per_atom": 0.625, "total_magnetization_mub_per_fu": 0.00, "final_energy_ev_per_atom": -6.304, "lattice_angstrom": [[3.227, 0.000, 0.000], [-1.614, 2.795, 0.000], [0.000, 0.000, 6.222]], "species": ["Ni", "Ni", "Ni", "Ni", "C", "C"], "fractional_positions": [[0.000, 0.000, 0.000], [0.000, 0.000, 0.500], [0.333, 0.667, 0.250], [0.667, 0.333, 0.750], [0.333, 0.667, 0.750], [0.667, 0.333, 0.250]]}



{"formula": "Ni2C3", "functional": "PBE", "state": "relaxed", "dos_ef_per_ev_cell": 2.81, "formation_enthalpy_0k_ev_per_atom": 0.802, "total_magnetization_mub_per_fu": 0.00, "final_energy_ev_per_atom": -7.045, "lattice_angstrom": [[0.000, 6.133, 1.508], [4.733, 0.000, 1.508], [4.733, 6.133, 0.000]], "species": ["Ni", "Ni", "Ni", "Ni", "C", "C", "C", "C", "C", "C"], "fractional_positions": [[0.282, 0.718, 0.377], [0.627, 0.873, 0.532], [0.718, 0.282, 0.623], [0.873, 0.627, 0.968], [0.163, 0.808, 0.973], [0.170, 0.170, 0.330], [0.194, 0.277, 0.442], [0.277, 0.194, 0.087], [0.808, 0.163, 0.056], [0.920, 0.920, 0.080]]}



{"formula": "NiC5", "functional": "PBE", "state": "relaxed", "dos_ef_per_ev_cell": 1.22, "formation_enthalpy_0k_ev_per_atom": 1.241, "total_magnetization_mub_per_fu": 0.00, "final_energy_ev_per_atom": -7.409, "lattice_angstrom": [[2.449, 0.000, 0.000], [0.000, 1.316, 6.729], [0.000, -1.316, 6.729]], "species": ["Ni", "C", "C", "C", "C", "C"], "fractional_positions": [[0.000, 0.000, 0.000], [0.000, 0.397, 0.397], [0.000, 0.676, 0.676], [0.500, 0.331, 0.331], [0.500, 0.618, 0.618], [0.500, 0.770, 0.770]]}



> What is the formula in the sixth record?

NiC3